Compound: BaLiTl2S4
Source: the Alexandria database
Functional: PBE
Structure: optimized geometry

Lattice parameters (Å, degrees): 6.917 6.917 6.303 116.44 116.44 100.86
Sites, in units of the cell vectors:
Ba 0.047 0.047 0.095
Li 0.511 0.511 0.023
Tl 0.777 0.277 0.553
Tl 0.277 0.777 0.553
S 0.559 0.559 0.684
S 0.386 0.818 0.204
S 0.818 0.386 0.204
S 0.125 0.125 0.684

Properties
size of the total moment: 0.000 μB/f.u.
ΔE_f (raw): -6.27 eV per formula unit
DFT total energy: -3.918 eV per atom